La4Sn2Sb | PBE | optimized geometry

a = 9.3956 Å, b = 9.3956 Å, c = 9.3956 Å
α = 143.92°, β = 143.92°, γ = 51.94°
Positions (direct):
La 0.0000 0.5000 0.5000
La 0.1843 0.1843 0.0000
La 0.5000 0.0000 0.5000
La 0.8157 0.8157 0.0000
Sn 0.3745 0.3745 0.0000
Sn 0.6255 0.6255 0.0000
Sb 0.0000 0.0000 0.0000

## Properties
- space-group type = I4/mmm, No. 139
- excess energy over the best structure of this formula in the dataset (eV per formula unit) = 3.62
- volume (Å³ per cell) = 286
- calculated density (g cm⁻³) = 5.31

LaSnSb3 | PBE | optimized geometry

a = 5.9882 Å, b = 5.9882 Å, c = 5.9882 Å
α = 90.00°, β = 90.00°, γ = 90.00°
Positions (direct):
La 0.0000 0.0000 0.0000
Sn 0.5000 0.5000 0.5000
Sb 0.0000 0.0000 0.5000
Sb 0.0000 0.5000 0.0000
Sb 0.5000 0.0000 0.0000

## Properties
- space-group type = Pm-3m, No. 221
- excess energy over the best structure of this formula in the dataset (eV per formula unit) = 5.06
- volume (Å³ per cell) = 215
- calculated density (g cm⁻³) = 4.82